# 1
First-principles (PBE) data for a geometry-optimized Tm6CdCo2 structure, as listed in Alexandria.

D(E_F) ... 20.00 states/eV per cell
Crystal system ... orthorhombic
Magnetic moment ... 0.00 μB/f.u.
Energy of formation ... -209 kJ/mol of formula units

Cell: 8.246 8.246 8.246 Å, 106.39 110.07 112.00°
Positions (direct):
Cd 0.000 0.000 0.000
Cd 0.000 0.500 0.500
Co 0.378 0.000 0.378
Co 0.500 0.386 0.886
Co 0.622 0.000 0.622
Co 0.500 0.614 0.114
Tm 0.478 0.290 0.188
Tm 0.210 0.229 0.439
Tm 0.302 0.616 0.315
Tm 0.897 0.710 0.188
Tm 0.790 0.229 0.019
Tm 0.302 0.987 0.685
Tm 0.103 0.290 0.812
Tm 0.790 0.771 0.561
Tm 0.698 0.013 0.315
Tm 0.522 0.710 0.812
Tm 0.210 0.771 0.981
Tm 0.698 0.384 0.685

# 2
First-principles (PBE) data for a geometry-optimized Fe2AuSe structure, as listed in Alexandria.

ΔE_f (raw) ... 0.284 eV per atom
D(E_F) ... 3.94 states/eV per cell
Crystal system ... trigonal
Magnetic moment ... 4.89 μB/f.u.

Cell: 8.181 8.181 8.181 Å, 20.79 20.79 20.79°
Last column: magnetic moment on the atom in μB.
Positions (direct):
Fe 0.006 0.006 0.006  2.52
Fe 0.494 0.494 0.494  2.52
Au 0.250 0.250 0.250  0.03
Se 0.750 0.750 0.750  -0.10

# 3
First-principles (PBE) data for a geometry-optimized Dy2YC2 structure, as listed in Alexandria.

D(E_F) ... 3.88 states/eV per cell
Crystal system ... monoclinic
Magnetic moment ... 0.88 μB/f.u.
Energy of formation ... -104 kJ/mol of formula units

Cell: 5.099 6.303 8.060 Å, 59.95 71.56 66.14°
Last column: magnetic moment on the atom in μB.
Positions (direct):
C 0.167 0.253 0.413  0.02
C 0.833 0.747 0.587  0.02
C 0.502 0.758 0.238  0.02
C 0.498 0.242 0.762  0.02
Y 0.655 0.785 0.904  0.17
Y 0.345 0.215 0.096  0.17
Dy 0.007 0.714 0.272  0.12
Dy 0.993 0.286 0.728  0.12
Dy 0.662 0.243 0.433  0.09
Dy 0.338 0.757 0.567  0.09

# 4
First-principles (PBE) data for a geometry-optimized PrSmPSe structure, as listed in Alexandria.

ΔE_f (raw) ... -1.714 eV per atom
D(E_F) ... 2.56 states/eV per cell
Crystal system ... trigonal
Magnetic moment ... 0.00 μB/f.u.

Cell: 4.103 4.104 7.606 Å, 90.00 105.63 120.00°
Positions (direct):
Se 0.963 0.380 0.358
Sm 0.119 0.958 0.092
P 0.309 0.552 0.877
Pr 0.486 0.141 0.643

# 5
First-principles (PBE) data for a geometry-optimized Th3CdNi4 structure, as listed in Alexandria.

D(E_F) ... 6.05 states/eV per cell
Crystal system ... monoclinic
Magnetic moment ... 0.00 μB/f.u.
Energy of formation ... -230 kJ/mol of formula units

Cell: 3.755 6.229 8.168 Å, 112.55 103.29 90.00°
Positions (direct):
Ni 0.628 0.434 0.256
Ni 0.372 0.566 0.744
Ni 0.372 0.177 0.744
Ni 0.628 0.823 0.256
Th 0.000 0.500 0.000
Th 0.805 0.805 0.611
Th 0.195 0.195 0.389
Cd 0.500 0.000 0.000

# 6
First-principles (PBE) data for a geometry-optimized La5As4 structure, as listed in Alexandria.

E above lowest polymorph ... 0 meV per atom
D(E_F) ... 20.20 states/eV per cell
Crystal system ... hexagonal
Magnetic moment ... 0.01 μB/f.u.
Energy of formation ... -1092 kJ/mol of formula units

Cell: 9.235 9.235 6.703 Å, 90.00 90.00 120.00°
Positions (direct):
La 0.738 0.738 0.750
La 0.262 0.000 0.750
La 0.667 0.333 0.000
La 0.667 0.333 0.500
La 0.000 0.738 0.250
La 0.333 0.667 0.500
La 0.333 0.667 0.000
La 0.000 0.262 0.750
La 0.738 0.000 0.250
La 0.262 0.262 0.250
As 0.000 0.000 0.500
As 0.000 0.611 0.750
As 0.389 0.389 0.750
As 0.000 0.389 0.250
As 0.611 0.000 0.750
As 0.389 0.000 0.250
As 0.611 0.611 0.250
As 0.000 0.000 0.000

# 7
First-principles (PBE) data for a geometry-optimized NiTeRh2 structure, as listed in Alexandria.

ΔE_f (raw) ... 0.154 eV per atom
D(E_F) ... 9.17 states/eV per cell
Crystal system ... tetragonal
Magnetic moment ... 0.00 μB/f.u.

Cell: 3.821 3.821 9.405 Å, 78.28 78.28 90.00°
Positions (direct):
Te 0.750 0.250 0.500
Te 0.000 0.000 0.000
Rh 0.375 0.394 0.750
Rh 0.144 0.625 0.250
Rh 0.875 0.856 0.750
Rh 0.606 0.125 0.250
Ni 0.250 0.750 0.500
Ni 0.500 0.500 0.000

# 8
First-principles (PBE) data for a geometry-optimized Er3Si2Pd3 structure, as listed in Alexandria.

ΔE_f (raw) ... -0.953 eV per atom
D(E_F) ... 18.92 states/eV per cell
Crystal system ... orthorhombic
Magnetic moment ... 0.00 μB/f.u.

Cell: 5.564 7.467 15.095 Å, 90.00 90.00 90.00°
Positions (direct):
Pd 0.884 0.813 0.750
Pd 0.616 0.313 0.750
Pd 0.906 0.824 0.033
Pd 0.594 0.324 0.033
Pd 0.116 0.187 0.250
Pd 0.906 0.824 0.467
Pd 0.406 0.676 0.533
Pd 0.094 0.176 0.533
Pd 0.594 0.324 0.467
Pd 0.384 0.687 0.250
Pd 0.406 0.676 0.967
Pd 0.094 0.176 0.967
Er 0.625 0.331 0.250
Er 0.864 0.528 0.609
Er 0.375 0.669 0.750
Er 0.364 0.972 0.109
Er 0.875 0.831 0.250
Er 0.636 0.028 0.609
Er 0.136 0.472 0.109
Er 0.364 0.972 0.391
Er 0.636 0.028 0.891
Er 0.125 0.169 0.750
Er 0.864 0.528 0.891
Er 0.136 0.472 0.391
Si 0.640 0.620 0.108
Si 0.140 0.880 0.892
Si 0.860 0.120 0.392
Si 0.360 0.380 0.892
Si 0.640 0.620 0.392
Si 0.140 0.880 0.608
Si 0.860 0.120 0.108
Si 0.360 0.380 0.608

# 9
First-principles (PBE) data for a geometry-optimized Fe3PtS structure, as listed in Alexandria.

E above lowest polymorph ... 919 meV per atom
ΔE_f (raw) ... 1.108 eV per atom
D(E_F) ... 7.69 states/eV per cell
Crystal system ... cubic
Magnetic moment ... 10.27 μB/f.u.

Cell: 4.698 4.698 4.698 Å, 90.00 90.00 90.00°
Last column: magnetic moment on the atom in μB.
Positions (direct):
Pt 0.000 0.000 0.000  0.43
Fe 0.500 0.000 0.000  2.59
Fe 0.000 0.000 0.500  3.69
Fe 0.000 0.500 0.000  3.29
S 0.500 0.500 0.500  0.12

# 10
First-principles (PBE) data for a geometry-optimized Li2LaSiPd structure, as listed in Alexandria.

ΔE_f (raw) ... -0.374 eV per atom
D(E_F) ... 3.34 states/eV per cell
Crystal system ... tetragonal
Magnetic moment ... 0.00 μB/f.u.

Cell: 4.673 4.673 4.663 Å, 90.00 90.00 90.00°
Positions (direct):
Pd 0.000 0.000 0.000
La 0.500 0.500 0.500
Li 0.500 0.000 0.000
Li 0.000 0.500 0.000
Si 0.000 0.000 0.500

# 11
First-principles (PBE) data for a geometry-optimized Cs3MoSe structure, as listed in Alexandria.

ΔE_f (raw) ... 0.415 eV per atom
D(E_F) ... 0.00 states/eV per cell
Crystal system ... cubic
Magnetic moment ... 5.00 μB/f.u.

Cell: 6.978 6.978 6.978 Å, 90.00 90.00 90.00°
Last column: magnetic moment on the atom in μB.
Positions (direct):
Se 0.000 0.000 0.000  0.00
Cs 0.000 0.500 0.000  0.00
Cs 0.500 0.000 0.000  0.00
Cs 0.000 0.000 0.500  0.00
Mo 0.500 0.500 0.500  3.98

# 12
First-principles (PBE) data for a geometry-optimized PuHgRh structure, as listed in Alexandria.

E above lowest polymorph ... 58 meV per atom
D(E_F) ... 8.56 states/eV per cell
Crystal system ... tetragonal
Magnetic moment ... 5.17 μB/f.u.
Energy of formation ... -60 kJ/mol of formula units

Cell: 3.276 3.276 6.333 Å, 104.99 104.99 90.00°
Last column: magnetic moment on the atom in μB.
Positions (direct):
Hg 0.016 0.016 0.032  0.00
Rh 0.670 0.670 0.340  -0.22
Pu 0.314 0.314 0.628  5.15

# 13
First-principles (PBE) data for a geometry-optimized ThPaReMo structure, as listed in Alexandria.

D(E_F) ... 5.85 states/eV per cell
Crystal system ... cubic
Magnetic moment ... 0.00 μB/f.u.
Energy of formation ... 93 kJ/mol of formula units

Cell: 4.992 4.992 4.992 Å, 60.00 60.00 60.00°
Positions (direct):
Th 0.750 0.750 0.750
Mo 0.000 0.000 0.000
Pa 0.250 0.250 0.250
Re 0.500 0.500 0.500

# 14
First-principles (PBE) data for a geometry-optimized Nd2Dy4Ge3O2 structure, as listed in Alexandria.

ΔE_f (raw) ... -1.580 eV per atom
D(E_F) ... 8.20 states/eV per cell
Crystal system ... tetragonal
Magnetic moment ... 0.00 μB/f.u.

Cell: 4.569 4.569 12.512 Å, 100.52 100.52 90.00°
Positions (direct):
Dy 0.921 0.421 0.841
Dy 0.579 0.079 0.159
Dy 0.421 0.921 0.841
Dy 0.079 0.579 0.159
Nd 0.302 0.302 0.604
Nd 0.698 0.698 0.396
Ge 0.828 0.828 0.656
Ge 0.000 0.000 0.000
Ge 0.172 0.172 0.344
O 0.408 0.408 0.816
O 0.592 0.592 0.184

# 15
First-principles (PBE) data for a geometry-optimized Sr2Ru2I structure, as listed in Alexandria.

E above lowest polymorph ... 501 meV per atom
ΔE_f (raw) ... 0.411 eV per atom
D(E_F) ... 15.76 states/eV per cell
Crystal system ... tetragonal
Magnetic moment ... 1.95 μB/f.u.

Cell: 9.128 9.128 3.596 Å, 90.00 90.00 90.00°
Last column: magnetic moment on the atom in μB.
Positions (direct):
I 0.000 0.000 0.000  0.03
I 0.500 0.500 0.000  0.03
Sr 0.315 0.815 0.000  0.02
Sr 0.815 0.685 0.000  0.02
Sr 0.185 0.315 0.000  0.02
Sr 0.685 0.185 0.000  0.02
Ru 0.088 0.588 0.500  0.71
Ru 0.588 0.912 0.500  0.71
Ru 0.412 0.088 0.500  0.71
Ru 0.912 0.412 0.500  0.71

# 16
First-principles (PBE) data for a geometry-optimized SrCr2Cu structure, as listed in Alexandria.

E above lowest polymorph ... 282 meV per atom
D(E_F) ... 4.26 states/eV per cell
Crystal system ... trigonal
Magnetic moment ... 7.69 μB/f.u.
Energy of formation ... 272 kJ/mol of formula units

Cell: 6.121 6.121 6.121 Å, 42.57 42.57 42.57°
Last column: magnetic moment on the atom in μB.
Positions (direct):
Cr 0.559 0.559 0.559  3.38
Cr 0.941 0.941 0.941  3.38
Cu 0.250 0.250 0.250  0.16
Sr 0.750 0.750 0.750  0.03

# 17
First-principles (PBE) data for a geometry-optimized VFeW structure, as listed in Alexandria.

E above lowest polymorph ... 50 meV per atom
D(E_F) ... 4.31 states/eV per cell
Crystal system ... tetragonal
Magnetic moment ... 1.73 μB/f.u.
Energy of formation ... -3 kJ/mol of formula units

Cell: 3.025 3.022 9.415 Å, 108.72 90.00 90.00°
Last column: magnetic moment on the atom in μB.
Positions (direct):
W 0.847 0.505 0.672  -0.25
W 0.347 0.484 0.151  -0.25
Fe 0.347 0.167 0.834  1.98
Fe 0.847 0.823 0.989  1.98
V 0.847 0.164 0.331  0.06
V 0.347 0.826 0.493  0.06

# 18
First-principles (PBE) data for a geometry-optimized Ge2Pt2Au structure, as listed in Alexandria.

E above lowest polymorph ... 69 meV per atom
D(E_F) ... 2.08 states/eV per cell
Crystal system ... tetragonal
Magnetic moment ... 0.00 μB/f.u.
Energy of formation ... -52 kJ/mol of formula units

Cell: 4.416 4.416 5.668 Å, 67.07 67.07 90.00°
Positions (direct):
Ge 0.374 0.374 0.253
Ge 0.626 0.626 0.747
Au 0.000 0.000 0.000
Pt 0.750 0.250 0.500
Pt 0.250 0.750 0.500

# 19
First-principles (PBE) data for a geometry-optimized Ce7InHg3 structure, as listed in Alexandria.

D(E_F) ... 36.76 states/eV per cell
Crystal system ... monoclinic
Magnetic moment ... 5.99 μB/f.u.
Energy of formation ... -76 kJ/mol of formula units

Cell: 5.798 8.212 8.212 Å, 83.38 114.98 114.98°
Last column: magnetic moment on the atom in μB.
Positions (direct):
Ce 0.786 0.806 0.806  0.74
Ce 0.214 0.194 0.194  0.74
Ce 0.714 0.426 0.939  0.69
Ce 0.286 0.061 0.574  0.69
Ce 0.714 0.939 0.426  0.69
Ce 0.000 0.500 0.500  0.84
Ce 0.286 0.574 0.061  0.69
Hg 0.000 0.777 0.223  0.01
Hg 0.000 0.223 0.777  0.01
Hg 0.500 0.000 0.000  0.00
In 0.500 0.500 0.500  0.00

# 20
First-principles (PBE) data for a geometry-optimized PrEuPb2 structure, as listed in Alexandria.

D(E_F) ... 2.54 states/eV per cell
Crystal system ... tetragonal
Magnetic moment ... 7.02 μB/f.u.
Energy of formation ... -206 kJ/mol of formula units

Cell: 3.645 3.645 9.371 Å, 90.00 90.00 90.00°
Last column: magnetic moment on the atom in μB.
Positions (direct):
Pb 0.000 0.000 0.749  -0.01
Pb 0.000 0.000 0.251  -0.01
Eu 0.500 0.500 0.000  6.87
Pr 0.500 0.500 0.500  -0.02